Here is a geometry-optimized La2GeF structure from the Alexandria database. Energies are from PBE-GGA.

size of the total moment = 0.00 Bohr magnetons per cell
uncorrected formation energy = -1.676 eV per atom
energy above the lowest structure with this stoichiometry = 0.0 kJ/mol of atoms

Lattice parameters (Å, degrees): 4.4789 4.4789 23.7453 90.00 90.00 120.00
Space group R-3m (No. 166, hexagonal axes)
Symmetry-distinct sites (fractional):
La 0.0000 0.0000 0.0993 (multiplicity 6)
Ge 0.0000 0.0000 0.5000 (multiplicity 3)
F 0.0000 0.0000 0.0000 (multiplicity 3)